[1]
DFT (PBE) results for an optimized crystal structure of BeBiSe3.

Computed properties:
DOS(E_F)   4.71 states/eV/cell
Final energy   -13.05 eV/f.u.
Theoretical density   4.6 g/cm³

Unit cell a=5.4751 b=5.4751 c=5.4751 alpha=90.00 beta=90.00 gamma=90.00
Closest atoms and distances in Å follow each position.
Atoms (fractional coordinates):
1 Be 0.0000 0.0000 0.0000  12 Se 3.87
2 Bi 0.5000 0.5000 0.5000  6 Se 2.74
3 Se 0.0000 0.5000 0.5000  2 Bi 2.74
4 Se 0.5000 0.0000 0.5000  2 Bi 2.74
5 Se 0.5000 0.5000 0.0000  2 Bi 2.74

[2]
DFT (PBE) results for an optimized crystal structure of Li3Nd2Si2.

Computed properties:
DOS(E_F)   3.19 states/eV/cell
Final energy   -28.83 eV/f.u.
Theoretical density   4.2 g/cm³

Unit cell a=5.6008 b=5.6008 c=6.2822 alpha=100.54 beta=100.54 gamma=49.11
Closest atoms and distances in Å follow each position.
Atoms (fractional coordinates):
1 Li 0.0000 0.0000 0.0000  2 Li 2.73
2 Li 0.1166 0.1166 0.4314  3 Si 2.64-2.73, 2 Li 2.69-2.73, 1 Nd 2.93
3 Li 0.8834 0.8834 0.5686  3 Si 2.64-2.73, 2 Li 2.69-2.73, 1 Nd 2.93
4 Nd 0.3533 0.3533 0.2322  5 Li 2.93-3.26, 5 Si 3.05-3.24
5 Nd 0.6467 0.6467 0.7678  5 Li 2.93-3.26, 5 Si 3.05-3.24
6 Si 0.3449 0.3449 0.7448  3 Li 2.64-2.73
7 Si 0.6551 0.6551 0.2552  3 Li 2.64-2.73

[3]
DFT (PBE) results for an optimized crystal structure of Ca2CuRh3.

Computed properties:
DOS(E_F)   7.08 states/eV/cell
Theoretical density   7.0 g/cm³
Energy relative to the elements   -388 meV per atom

Unit cell a=5.2695 b=5.2695 c=5.2695 alpha=61.55 beta=61.55 gamma=61.55
Closest atoms and distances in Å follow each position.
Atoms (fractional coordinates):
1 Ca 0.1246 0.1246 0.1246  9 Rh 3.08-3.13, 3 Cu 3.16, 4 Ca 3.18-3.29
2 Ca 0.8754 0.8754 0.8754  9 Rh 3.08-3.13, 3 Cu 3.16, 4 Ca 3.18-3.29
3 Cu 0.5000 0.5000 0.5000  6 Rh 2.63
4 Rh 0.0000 0.5000 0.5000  2 Cu 2.63, 4 Rh 2.70
5 Rh 0.5000 0.0000 0.5000  2 Cu 2.63, 4 Rh 2.70
6 Rh 0.5000 0.5000 0.0000  2 Cu 2.63, 4 Rh 2.70

[4]
DFT (PBE) results for an optimized crystal structure of Ta2VTc.

Computed properties:
DOS(E_F)   4.12 states/eV/cell
Theoretical density   12.2 g/cm³
Energy relative to the elements   671 meV per atom

Unit cell a=5.8405 b=5.8405 c=5.8405 alpha=150.21 beta=134.82 gamma=55.06
Closest atoms and distances in Å follow each position.
Atoms (fractional coordinates):
1 Ta 0.2462 0.2462 0.0000  1 Tc 2.55, 1 V 2.63, 4 Ta 2.70
2 Ta 0.7538 0.7538 0.0000  1 Tc 2.55, 1 V 2.63, 4 Ta 2.70
3 V 0.5000 0.5000 0.0000  2 Ta 2.63, 4 Tc 2.70
4 Tc 0.0000 0.0000 0.0000  2 Ta 2.55, 4 V 2.70

[5]
DFT (PBE) results for an optimized crystal structure of Y12Tm2Zr.

Computed properties:
DOS(E_F)   43.95 states/eV/cell
Theoretical density   5.2 g/cm³
Energy relative to the elements   149 meV per atom

Unit cell a=6.6208 b=6.6208 c=24.3307 alpha=94.28 beta=94.28 gamma=115.50
Closest atoms and distances in Å follow each position.
Atoms (fractional coordinates):
1 Y 0.0665 0.0665 0.3929  7 Y 3.29-3.58, 1 Zr 3.37
2 Y 0.0809 0.0809 0.9097  8 Y 3.34-3.68, 1 Tm 3.67
3 Y 0.1087 0.5909 0.9438  10 Y 3.22-3.54
4 Y 0.1232 0.6007 0.4356  3 Zr 3.41-3.55, 9 Y 3.45-3.76
5 Y 0.2070 0.7626 0.6963  3 Y 3.17-3.32, 1 Tm 3.49
6 Y 0.2182 0.6877 0.1736  5 Y 3.17-3.55, 2 Tm 3.44-3.49
7 Y 0.2374 0.7930 0.3037  3 Y 3.17-3.32, 1 Tm 3.49
8 Y 0.3123 0.7818 0.8264  5 Y 3.17-3.55, 2 Tm 3.44-3.49
9 Y 0.3928 0.3928 0.0700  8 Y 3.30-3.68
10 Y 0.3993 0.8768 0.5644  3 Zr 3.41-3.55, 9 Y 3.45-3.76
11 Y 0.4091 0.8913 0.0562  10 Y 3.22-3.54
12 Y 0.4403 0.4403 0.6490  1 Zr 3.12, 2 Y 3.32, 2 Tm 3.48
13 Y 0.5597 0.5597 0.3510  1 Zr 3.12, 2 Y 3.32, 2 Tm 3.48
14 Y 0.5909 0.1087 0.9438  10 Y 3.22-3.54
15 Y 0.6007 0.1232 0.4356  3 Zr 3.41-3.55, 9 Y 3.45-3.76
16 Y 0.6072 0.6072 0.9300  8 Y 3.30-3.68
17 Y 0.6877 0.2182 0.1736  5 Y 3.17-3.55, 2 Tm 3.44-3.49
18 Y 0.7626 0.2070 0.6963  3 Y 3.17-3.32, 1 Tm 3.49
19 Y 0.7818 0.3123 0.8264  5 Y 3.17-3.55, 2 Tm 3.44-3.49
20 Y 0.7930 0.2374 0.3037  3 Y 3.17-3.32, 1 Tm 3.49
21 Y 0.8768 0.3993 0.5644  3 Zr 3.41-3.55, 9 Y 3.45-3.76
22 Y 0.8913 0.4091 0.0562  10 Y 3.22-3.54
23 Y 0.9191 0.9191 0.0903  8 Y 3.34-3.68, 1 Tm 3.67
24 Y 0.9335 0.9335 0.6071  7 Y 3.29-3.58, 1 Zr 3.37
25 Tm 0.2242 0.2242 0.2317  2 Tm 3.42-3.66, 8 Y 3.48-3.79
26 Tm 0.2619 0.2619 0.7753  2 Tm 3.42-3.66, 8 Y 3.44-3.67
27 Tm 0.7381 0.7381 0.2247  2 Tm 3.42-3.66, 8 Y 3.44-3.67
28 Tm 0.7758 0.7758 0.7683  2 Tm 3.42-3.66, 8 Y 3.48-3.79
29 Zr 0.3226 0.3226 0.5204  1 Zr 2.82, 1 Y 3.12
30 Zr 0.6774 0.6774 0.4796  1 Zr 2.82, 1 Y 3.12

[6]
DFT (PBE) results for an optimized crystal structure of AsRu2Se.

Computed properties:
DOS(E_F)   3.46 states/eV/cell
Final energy   -26.27 eV/f.u.
Theoretical density   9.8 g/cm³

Unit cell a=3.0778 b=3.0778 c=6.3662 alpha=90.00 beta=90.00 gamma=90.00
Closest atoms and distances in Å follow each position.
Atoms (fractional coordinates):
1 As 0.0000 0.0000 0.0000  8 Ru 2.61
2 Ru 0.5000 0.5000 0.2270  4 As 2.61, 4 Se 2.79, 1 Ru 2.89
3 Ru 0.5000 0.5000 0.7730  4 As 2.61, 4 Se 2.79, 1 Ru 2.89
4 Se 0.0000 0.0000 0.5000  8 Ru 2.79, 4 Se 3.08

[7]
DFT (PBE) results for an optimized crystal structure of Li3GaSe.

Computed properties:
DOS(E_F)   3.19 states/eV/cell
Final energy   -14.56 eV/f.u.
Theoretical density   2.5 g/cm³

Unit cell a=4.8021 b=4.8021 c=4.8021 alpha=90.00 beta=90.00 gamma=90.00
Closest atoms and distances in Å follow each position.
Atoms (fractional coordinates):
1 Li 0.0000 0.0000 0.5000  2 Se 2.40
2 Li 0.0000 0.5000 0.0000  2 Se 2.40
3 Li 0.5000 0.0000 0.0000  2 Se 2.40
4 Ga 0.5000 0.5000 0.5000  12 Li 3.40
5 Se 0.0000 0.0000 0.0000  6 Li 2.40

[8]
DFT (PBE) results for an optimized crystal structure of CaAlTc2Te.

Computed properties:
DOS(E_F)   5.42 states/eV/cell
Final energy   -23.82 eV/f.u.
Theoretical density   4.8 g/cm³

Unit cell a=4.9188 b=4.9188 c=5.5420 alpha=90.00 beta=90.00 gamma=90.00
Closest atoms and distances in Å follow each position.
Atoms (fractional coordinates):
1 Ca 0.0000 0.0000 0.0000  2 Te 2.77
2 Al 0.5000 0.5000 0.0000  4 Ca 3.48, 8 Tc 3.71
3 Tc 0.0000 0.5000 0.5000  2 Te 2.46
4 Tc 0.5000 0.0000 0.5000  2 Te 2.46
5 Te 0.0000 0.0000 0.5000  4 Tc 2.46

[9]
DFT (PBE) results for an optimized crystal structure of Cs4SeN12.

Computed properties:
DOS(E_F)   11.85 states/eV/cell
Final energy   -109.63 eV/f.u.
Theoretical density   2.7 g/cm³

Unit cell a=8.5509 b=8.5509 c=8.5509 alpha=109.47 beta=109.47 gamma=109.47
Closest atoms and distances in Å follow each position.
Atoms (fractional coordinates):
1 Cs 0.0000 0.0000 0.5000  6 N 3.27
2 Cs 0.0000 0.5000 0.0000  6 N 3.27
3 Cs 0.5000 0.0000 0.0000  6 N 3.27
4 Cs 0.5000 0.5000 0.5000  6 N 3.27
5 Se 0.0000 0.0000 0.0000  8 Cs 4.28, 12 N 4.61
6 N 0.1498 0.4424 0.5922  1 N 1.14
7 N 0.1498 0.5576 0.7075  1 N 1.14
8 N 0.2925 0.8502 0.4424  1 N 1.14
9 N 0.4078 0.8502 0.5576  1 N 1.14
10 N 0.4424 0.2925 0.8502  1 N 1.14
11 N 0.4424 0.5922 0.1498  1 N 1.14
12 N 0.5576 0.4078 0.8502  1 N 1.14
13 N 0.5576 0.7075 0.1498  1 N 1.14
14 N 0.5922 0.1498 0.4424  1 N 1.14
15 N 0.7075 0.1498 0.5576  1 N 1.14
16 N 0.8502 0.4424 0.2925  1 N 1.14
17 N 0.8502 0.5576 0.4078  1 N 1.14

[10]
DFT (PBE) results for an optimized crystal structure of NpGa2.

Computed properties:
DOS(E_F)   4.30 states/eV/cell
Theoretical density   12.0 g/cm³
Energy relative to the elements   92 meV per atom

Unit cell a=7.7053 b=7.7053 c=7.7053 alpha=160.24 beta=160.24 gamma=28.09
Closest atoms and distances in Å follow each position.
Atoms (fractional coordinates):
1 Np 0.0000 0.0000 0.0000  4 Np 2.64
2 Ga 0.3351 0.3351 0.0000  4 Ga 2.64
3 Ga 0.6649 0.6649 0.0000  4 Ga 2.64

Repeat the third record exactly.
DFT (PBE) results for an optimized crystal structure of Ca2CuRh3.

Computed properties:
DOS(E_F)   7.08 states/eV/cell
Theoretical density   7.0 g/cm³
Energy relative to the elements   -388 meV per atom

Unit cell a=5.2695 b=5.2695 c=5.2695 alpha=61.55 beta=61.55 gamma=61.55
Closest atoms and distances in Å follow each position.
Atoms (fractional coordinates):
1 Ca 0.1246 0.1246 0.1246  9 Rh 3.08-3.13, 3 Cu 3.16, 4 Ca 3.18-3.29
2 Ca 0.8754 0.8754 0.8754  9 Rh 3.08-3.13, 3 Cu 3.16, 4 Ca 3.18-3.29
3 Cu 0.5000 0.5000 0.5000  6 Rh 2.63
4 Rh 0.0000 0.5000 0.5000  2 Cu 2.63, 4 Rh 2.70
5 Rh 0.5000 0.0000 0.5000  2 Cu 2.63, 4 Rh 2.70
6 Rh 0.5000 0.5000 0.0000  2 Cu 2.63, 4 Rh 2.70